No. 1
First-principles (GGA-PBEsol) data for a geometry-optimized PbIN2 structure, as listed in the Alexandria database.

POSCAR file:
```
PbIN2
1.0
-2.656 -1.656 -1.284
-1.455 -2.492 1.766
-5.881 3.448 3.259
Pb I N
1 1 2
Direct
0.000 0.000 0.000
0.500 0.500 0.500
0.887 0.887 0.340
0.113 0.113 0.660
```

Calculated values
final energy = -4.360 eV/atom
DOS at the Fermi energy = 1.018 states/eV per cell
total magnetization = 0.0 μB/cell

No. 2
First-principles (GGA-PBEsol) data for a geometry-optimized Pb3IN structure, as listed in the Alexandria database.

POSCAR file:
```
Pb3IN
1.0
5.134 0.000 0.000
0.000 5.134 0.000
0.000 0.000 5.134
Pb I N
3 1 1
Direct
0.000 0.500 0.000
0.000 0.000 0.500
0.500 0.000 0.000
0.500 0.500 0.500
0.000 0.000 0.000
```

Calculated values
final energy = -4.012 eV/atom
DOS at the Fermi energy = 3.408 states/eV per cell
total magnetization = 0.0 μB/cell